Density functional theory data (GGA+U) for a geometry-optimized Na3InNi2O6 structure.

Results
* total DFT energy (no corrections): -4.715 eV per atom
* N(E_F): 0.380 states/eV per cell

Cell and atoms, written as CIF:
```
data_Na3InNi2O6
_chemical_formula_sum 'Na3 In1 Ni2 O6'
_cell_length_a 5.293
_cell_length_b 5.293
_cell_length_c 5.752
_cell_angle_alpha 100.42
_cell_angle_beta 100.42
_cell_angle_gamma 117.12
_symmetry_space_group_name_H-M 'P 1'
_symmetry_Int_Tables_number 1
_symmetry_space_group_name_Hall 'P 1'
loop_
_atom_site_label
_atom_site_type_symbol
_atom_site_fract_x
_atom_site_fract_y
_atom_site_fract_z
_atom_site_occupancy
Na1 Na 0.169 0.831 0.500 1
Na2 Na 0.831 0.169 0.500 1
Na3 Na 0.500 0.500 0.500 1
In1 In 0.000 0.000 0.000 1
Ni1 Ni 0.334 0.666 0.000 1
Ni2 Ni 0.666 0.334 0.000 1
O1 O 0.957 0.594 0.794 1
O2 O 0.703 0.703 0.197 1
O3 O 0.043 0.406 0.206 1
O4 O 0.594 0.957 0.794 1
O5 O 0.297 0.297 0.803 1
O6 O 0.406 0.043 0.206 1
```